Below is MgMnSbTe2 after structural relaxation, with properties calculated at the PBE-GGA level.

M_tot = 0.04 μB/f.u.
energy above the lowest structure with this stoichiometry = 0 meV/atom
space group = No. 123
raw formation energy = 0.3588 eV/atom
E = -19.38 eV/cell

Lattice parameters (Å, degrees): 5.262 5.262 4.844 90.00 90.00 90.00
Positions (direct):
Mg 0.000 0.000 0.000
Mn 0.500 0.500 0.500
Sb 0.500 0.500 0.000
Te 0.000 0.500 0.500
Te 0.500 0.000 0.500


Below is Rb2PdAuF6 after structural relaxation, with properties calculated at the PBE-GGA level.

M_tot = 0.68 μB/f.u.
space group = No. 139
raw formation energy = -1.7837 eV/atom
E = -39.47 eV/cell

Lattice parameters (Å, degrees): 6.313 6.313 6.313 118.93 118.93 91.86
Positions (direct):
Rb 0.250 0.750 0.500
Rb 0.750 0.250 0.500
Pd 0.000 0.000 0.000
Au 0.500 0.500 0.000
F 0.225 0.225 0.449
F 0.225 0.775 0.000
F 0.261 0.261 0.000
F 0.739 0.739 0.000
F 0.775 0.225 0.000
F 0.775 0.775 0.551


Below is Sr2CdBiMo after structural relaxation, with properties calculated at the PBE-GGA level.

formation energy from the elements = 0.5743 eV/atom
M_tot = 2.85 μB/f.u.
space group = No. 123
E = -16.12 eV/cell

Lattice parameters (Å, degrees): 6.404 6.404 5.326 90.00 90.00 90.00
Positions (direct):
Sr 0.000 0.500 0.000
Sr 0.500 0.000 0.000
Cd 0.000 0.000 0.500
Bi 0.500 0.500 0.000
Mo 0.500 0.500 0.500


M_tot of number 1 (MgMnSbTe2)? 0.04 μB/f.u.


What is the M_tot in the third record? 2.85 μB/f.u.